Entry 1:
Material: Y2GeO
Method: DFT, PBE
State: optimized geometry

Properties
Its density of states at the Fermi level is 2.54 states/eV/cell. The calculation puts the spin magnetization at 0.0 μB/f.u. The formation energy (no corrections) is -1.90 eV per atom. The calculation puts the energy above the most stable polymorph in this dataset at 0.000 eV per atom.

Geometry as extended XYZ:
```
8
Lattice="-3.604 -0.764 2.425 1.064 -4.254 0.242 4.456 1.519 7.100" Properties=species:S:1:pos:R:3 pbc="T T T"
Y -1.126 -4.020 2.686
Y 1.243 -0.904 7.187
Y 2.218 -3.113 3.929
Y 0.131 -1.516 1.330
Ge 3.798 -2.576 6.444
Ge -0.334 -1.444 4.671
O 1.027 -3.519 2.031
O -2.022 -2.017 1.984
```

***

Entry 2:
Material: YGeO2
Method: DFT, PBE
State: optimized geometry

Properties
Its density of states at the Fermi level is 0.57 states/eV/cell. The calculation puts the spin magnetization at 0.0 μB/f.u. The formation energy (no corrections) is -2.25 eV per atom.

Geometry as extended XYZ:
```
4
Lattice="1.969 0.000 6.491 -0.984 1.705 6.491 -0.984 -1.705 6.491" Properties=species:S:1:pos:R:3 pbc="T T T"
Y 0.000 0.000 9.736
Ge 0.000 0.000 0.000
O 0.000 0.000 17.349
O 0.000 0.000 2.123
```

***

Entry 3:
Material: Y3Ge2O
Method: DFT, PBE
State: optimized geometry

Properties
Its density of states at the Fermi level is 5.27 states/eV/cell. The calculation puts the spin magnetization at 0.0 μB/f.u. The formation energy (no corrections) is -1.44 eV per atom.

Geometry as extended XYZ:
```
12
Lattice="6.395 0.000 0.000 0.000 6.401 0.436 0.000 -1.690 6.190" Properties=species:S:1:pos:R:3 pbc="T T T"
Y 1.599 1.662 2.337
Y 4.797 3.050 4.289
Y 3.198 -0.312 5.210
Y 0.000 -0.312 5.210
Y 3.198 5.023 1.416
Y 0.000 5.023 1.416
Ge 4.797 2.554 1.284
Ge 1.599 2.158 5.342
Ge 1.599 4.337 3.792
Ge 4.797 0.374 2.834
O 4.797 4.342 6.106
O 1.599 0.369 0.519
```

***

Entry 4:
Material: Y2Ge2O7
Method: DFT, PBE
State: optimized geometry

Properties
Its density of states at the Fermi level is 0.00 states/eV/cell. The calculation puts the spin magnetization at 0.0 μB/f.u. The formation energy (no corrections) is -2.59 eV per atom. The calculation puts the energy above the most stable polymorph in this dataset at 0.012 eV per atom.

Geometry as extended XYZ:
```
22
Lattice="-5.821 1.129 3.903 -5.107 -4.924 0.264 -1.050 -3.708 5.962" Properties=species:S:1:pos:R:3 pbc="T T T"
Y -4.051 -3.400 1.398
Y -2.023 -2.792 4.247
Y -4.408 -0.373 3.218
Y -1.497 -0.938 1.266
Ge -7.487 -4.689 6.331
Ge -4.576 -5.254 4.379
Ge -6.961 -2.835 3.350
Ge -4.933 -2.227 6.199
O -6.057 -5.729 5.536
O -9.052 -7.605 8.068
O -7.991 -3.769 4.701
O -3.988 -3.734 5.428
O 0.000 0.000 0.000
O -5.632 -4.227 3.120
O -6.347 -3.276 7.010
O -9.342 -5.152 9.543
O -6.983 -5.610 7.961
O -10.985 -5.645 7.234
O -2.995 -1.876 2.532
O -8.626 -6.103 5.652
O -5.921 -1.774 4.594
O -8.916 -3.650 7.127
```

***

Entry 5:
Material: Y2GeO
Method: DFT, PBE
State: optimized geometry

Properties
Its density of states at the Fermi level is 0.11 states/eV/cell. The calculation puts the spin magnetization at 0.0 μB/f.u. The formation energy (no corrections) is -1.06 eV per atom. The calculation puts the energy above the most stable polymorph in this dataset at 0.842 eV per atom.

Geometry as extended XYZ:
```
4
Lattice="0.000 3.403 3.403 3.403 0.000 3.403 3.403 3.403 0.000" Properties=species:S:1:pos:R:3 pbc="T T T"
Y 1.701 1.701 1.701
Y 5.104 5.104 5.104
Ge 3.403 3.403 3.403
O 0.000 0.000 0.000
```

***

Entry 6:
Material: YGeO2
Method: DFT, PBE
State: optimized geometry

Properties
Its density of states at the Fermi level is 5.10 states/eV/cell. The calculation puts the spin magnetization at 0.0 μB/f.u. The formation energy (no corrections) is -1.75 eV per atom.

Geometry as extended XYZ:
```
8
Lattice="5.341 0.000 0.000 0.000 5.341 0.000 2.671 2.671 5.270" Properties=species:S:1:pos:R:3 pbc="T T T"
Y 0.000 0.000 0.000
Y 5.341 2.671 2.635
Ge 2.671 2.671 0.000
Ge 2.671 5.341 2.635
O 4.238 1.335 1.318
O 1.103 4.006 1.318
O 4.006 3.773 3.953
O 6.676 6.909 3.953
```

***

Entry 7:
Material: Y3GeO
Method: DFT, PBE
State: optimized geometry

Properties
Its density of states at the Fermi level is 7.35 states/eV/cell. The calculation puts the spin magnetization at 0.4 μB/f.u. The formation energy (no corrections) is -1.41 eV per atom. The calculation puts the energy above the most stable polymorph in this dataset at 0.000 eV per atom.

Geometry as extended XYZ:
```
10
Lattice="-0.502 -3.501 0.424 0.930 0.586 5.938 -10.213 3.429 1.260" Properties=species:S:1:pos:R:3 pbc="T T T"
Y -9.184 -0.037 3.781
Y -0.358 0.705 5.397
Y -1.799 -1.236 2.622
Y -7.779 1.881 6.321
Y -5.962 -0.451 4.174
Y -4.250 0.697 0.722
Ge -6.778 -0.683 1.299
Ge -3.420 0.937 3.684
O -7.446 1.565 4.104
O -2.797 -1.339 0.593
```

***

Entry 8:
Material: Y2Ge2O7
Method: DFT, PBE
State: optimized geometry

Properties
Its density of states at the Fermi level is 0.00 states/eV/cell. The calculation puts the spin magnetization at 0.0 μB/f.u. The formation energy (no corrections) is -2.57 eV per atom. The calculation puts the energy above the most stable polymorph in this dataset at 0.024 eV per atom.

Geometry as extended XYZ:
```
44
Lattice="6.920 -0.008 -0.098 -0.326 6.864 0.186 -0.825 -0.532 12.285" Properties=species:S:1:pos:R:3 pbc="T T T"
Y 3.853 0.818 10.834
Y 5.690 4.207 10.938
Y 1.766 1.457 7.756
Y 5.083 6.203 7.992
Y 0.686 0.120 4.382
Y 4.003 4.866 4.617
Y 0.079 2.116 1.436
Y 1.915 5.505 1.540
Ge 0.308 0.600 10.899
Ge 2.454 4.309 10.337
Ge 5.166 2.540 7.739
Ge 1.763 4.832 7.383
Ge 4.005 1.491 4.991
Ge 0.603 3.783 4.635
Ge 3.315 2.014 2.037
Ge 5.461 5.723 1.474
O 4.246 5.736 12.134
O 5.996 1.852 11.210
O 1.098 4.502 11.443
O 3.680 3.161 10.839
O 1.715 1.128 10.025
O 5.921 6.329 10.040
O 3.165 5.783 9.641
O 1.778 3.650 8.740
O 4.030 1.331 8.421
O 5.519 4.010 8.591
O 0.580 6.126 7.368
O -0.424 1.427 7.621
O 3.335 5.340 6.780
O 4.488 2.877 6.099
O 1.280 3.446 6.274
O 2.434 0.983 5.593
O 6.193 4.896 4.752
O 5.189 0.197 5.006
O 0.250 2.313 3.782
O 1.738 4.992 3.953
O 3.991 2.673 3.634
O 2.604 0.540 2.732
O -0.152 -0.006 2.334
O 4.053 5.195 2.349
O 2.089 3.162 1.535
O 4.671 1.821 0.930
O -0.227 4.471 1.163
O 1.522 0.587 0.239
```

***

Entry 9:
Material: YGeO
Method: DFT, PBE
State: optimized geometry

Properties
Its density of states at the Fermi level is 3.71 states/eV/cell. The calculation puts the spin magnetization at 0.0 μB/f.u. The formation energy (no corrections) is -1.74 eV per atom.

Geometry as extended XYZ:
```
6
Lattice="-1.365 -1.300 -2.497 0.643 -5.516 4.479 -4.798 1.104 2.048" Properties=species:S:1:pos:R:3 pbc="T T T"
O -3.082 -0.098 -0.225
O -0.682 -0.650 -1.249
Y -1.205 -0.556 0.948
Y -4.315 -5.156 3.082
Ge -3.617 -1.976 3.005
Ge -1.904 -3.736 1.025
```

***

Entry 10:
Material: Y2GeO
Method: DFT, PBE
State: optimized geometry

Properties
The calculation puts the spin magnetization at 0.0 μB/f.u. The formation energy (no corrections) is -1.58 eV per atom. The calculation puts the energy above the most stable polymorph in this dataset at 0.322 eV per atom.

Geometry as extended XYZ:
```
4
Lattice="4.460 0.000 0.000 2.230 3.862 0.000 2.230 1.287 6.987" Properties=species:S:1:pos:R:3 pbc="T T T"
Y 2.230 1.287 4.948
Y 6.690 3.862 2.040
Ge 4.460 2.575 3.494
O 0.000 0.000 0.000
```

***

Entry 11:
Material: Y3GeO7
Method: DFT, PBE
State: optimized geometry

Properties
Its density of states at the Fermi level is 12.69 states/eV/cell. The calculation puts the spin magnetization at 1.1 μB/f.u. The formation energy (no corrections) is -2.83 eV per atom.

Geometry as extended XYZ:
```
22
Lattice="6.419 0.048 0.000 -2.178 6.038 0.000 0.000 0.000 7.365" Properties=species:S:1:pos:R:3 pbc="T T T"
Y 2.010 2.884 3.682
Y 2.231 3.202 0.000
Y 1.274 6.044 1.874
Y 2.967 0.042 5.556
Y 5.229 3.289 5.490
Y -0.988 2.798 1.808
Ge 0.014 0.019 3.682
Ge 4.227 6.067 0.000
O 2.406 5.692 3.930
O 1.835 0.394 0.247
O 4.506 4.228 3.435
O -0.266 1.858 7.117
O -0.213 1.923 3.876
O 4.453 4.163 0.194
O 1.878 0.467 3.488
O 2.363 5.620 7.171
O 1.003 3.822 1.841
O 3.238 2.264 5.523
O 3.284 2.233 1.841
O 0.957 3.854 5.523
O 5.863 0.436 1.841
O -1.622 5.651 5.523
```

***

Entry 12:
Material: Y2Ge2O7
Method: DFT, PBE
State: optimized geometry

Properties
Its density of states at the Fermi level is 0.00 states/eV/cell. The calculation puts the spin magnetization at 0.0 μB/f.u. The formation energy (no corrections) is -2.60 eV per atom. The calculation puts the energy above the most stable polymorph in this dataset at 0.000 eV per atom.

Geometry as extended XYZ:
```
44
Lattice="6.888 0.000 0.000 0.000 6.888 0.000 0.000 0.000 12.533" Properties=species:S:1:pos:R:3 pbc="T T T"
Y 0.854 4.461 10.846
Y 6.035 2.428 4.579
Y 4.461 0.854 1.687
Y 1.016 2.590 1.446
Y 5.872 4.298 7.713
Y 2.590 1.016 11.087
Y 4.298 5.872 4.821
Y 2.428 6.035 7.954
Ge 1.051 6.205 1.500
Ge 5.837 0.683 7.767
Ge 6.205 1.051 11.033
Ge 2.761 2.393 4.633
Ge 4.127 4.495 10.900
Ge 2.393 2.761 7.900
Ge 4.495 4.127 1.633
Ge 0.683 5.837 4.766
O 0.986 4.717 0.567
O 5.902 2.171 6.833
O 4.717 0.986 11.966
O 1.273 2.458 3.700
O 5.615 4.430 9.967
O 2.458 1.273 8.833
O 4.430 5.615 2.567
O 2.171 5.902 5.700
O 2.328 0.442 0.894
O 4.561 6.446 7.161
O 0.442 2.328 11.639
O 3.886 1.117 4.027
O 3.002 5.772 10.294
O 1.117 3.886 8.506
O 5.772 3.002 2.239
O 6.446 4.561 5.372
O 1.355 5.533 3.133
O 4.799 4.799 0.000
O 2.089 2.089 6.267
O 5.533 1.355 9.400
O 6.350 0.212 4.716
O 3.232 2.906 1.583
O 3.656 3.982 7.849
O 2.906 3.232 10.951
O 3.982 3.656 4.684
O 0.538 6.676 10.982
O 0.212 6.350 7.817
O 6.676 0.538 1.551
```

***

Entry 13:
Material: Y2Ge2O7
Method: DFT, PBE
State: optimized geometry

Properties
Its density of states at the Fermi level is 0.00 states/eV/cell. The calculation puts the spin magnetization at 0.0 μB/f.u. The formation energy (no corrections) is -2.59 eV per atom. The calculation puts the energy above the most stable polymorph in this dataset at 0.004 eV per atom.

Geometry as extended XYZ:
```
11
Lattice="5.822 -0.008 0.002 -1.540 5.614 0.002 0.647 0.848 4.898" Properties=species:S:1:pos:R:3 pbc="T T T"
Y 0.718 3.890 0.002
Y 3.564 1.717 0.002
Ge 3.570 4.675 2.000
Ge 1.359 1.779 2.903
O 4.557 3.561 1.038
O 2.236 5.333 1.038
O 3.046 3.989 3.541
O 0.324 0.424 2.449
O 1.883 2.465 1.362
O 0.372 2.893 3.865
O 2.693 1.121 3.865
```

***

Entry 14:
Material: Y3GeO
Method: DFT, PBE
State: optimized geometry

Properties
Its density of states at the Fermi level is 4.97 states/eV/cell. The calculation puts the spin magnetization at 0.0 μB/f.u. The formation energy (no corrections) is -1.39 eV per atom. The calculation puts the energy above the most stable polymorph in this dataset at 0.017 eV per atom.

Geometry as extended XYZ:
```
5
Lattice="-2.005 2.003 3.749 2.559 -2.742 2.833 3.395 3.250 0.079" Properties=species:S:1:pos:R:3 pbc="T T T"
Y 1.279 -1.371 1.417
Y 1.697 1.625 0.040
Y -1.002 1.002 1.875
Ge 1.974 1.255 3.331
O 0.000 0.000 0.000
```

***

Entry 15:
Material: Y4Ge6O19
Method: DFT, PBE
State: optimized geometry

Properties
Its density of states at the Fermi level is 21.19 states/eV/cell. The calculation puts the spin magnetization at 2.2 μB/f.u. The formation energy (no corrections) is -2.15 eV per atom.

Geometry as extended XYZ:
```
29
Lattice="7.069 0.000 -2.499 -3.534 6.122 -2.499 0.000 0.000 7.497" Properties=species:S:1:pos:R:3 pbc="T T T"
Y 0.000 0.000 5.111
Y -2.410 4.173 -1.704
Y 1.125 1.948 0.795
Y 4.819 0.000 -1.704
Ge 0.598 3.061 4.172
Ge 2.936 3.061 -1.673
Ge -1.183 4.073 1.673
Ge 4.717 2.049 0.826
Ge 0.584 5.109 -0.826
Ge 2.950 1.012 3.326
O 4.610 0.000 3.260
O 2.458 0.000 1.738
O 1.229 2.129 -1.738
O 2.305 3.993 -3.260
O -2.305 3.993 3.260
O -1.229 2.129 1.738
O 0.000 0.000 0.000
O 1.118 1.488 3.287
O 3.915 2.038 4.591
O 2.099 4.083 -0.338
O 4.264 4.410 -1.712
O -0.063 4.633 -2.541
O 3.342 1.712 -0.407
O -1.048 2.262 4.660
O 0.510 3.860 2.457
O 5.221 0.224 0.787
O -1.052 5.898 2.161
O -0.447 3.750 -0.042
O 3.346 2.371 2.092
```